This record from Alexandria describes a geometry-optimized LaNpCr2O8 structure. The functional is PBE with a Hubbard U.

ρ in g/cm3: 6.0
E_tot in eV/atom: -8.4146
Size of the total moment in μB/f.u.: 6.01

Lattice parameters (Å, degrees): 4.898 4.903 7.174 84.05 84.09 83.34
Space group P-1 (No. 2)
Inequivalent atoms, fractional coordinates:
La (0.000, 0.000, 0.000) x1
Np (0.000, 0.000, 0.500) x1
Cr (0.463, 0.463, 0.214) x2
O (0.201, 0.784, 0.277) x2
O (0.215, 0.798, 0.724) x2
O (0.266, 0.264, 0.445) x2
O (0.333, 0.331, 0.000) x2